A relaxed NaTlPd4 crystal. Source: Alexandria via LeMat-Bulk, functional PBE.

a = 7.6322 Å, b = 7.6322 Å, c = 7.6322 Å
α = 90.00°, β = 90.00°, γ = 90.00°
With the nearest neighbours (Å) after each atom.
Space group F-43m (No. 216)
Inequivalent atoms, fractional coordinates:
Na1 0.0000 0.0000 0.0000 (multiplicity 4)  12 Pd 3.16, 4 Tl 3.30
Tl1 0.2500 0.2500 0.2500 (multiplicity 4)  12 Pd 3.16, 4 Na 3.30
Pd1 0.1250 0.1250 0.6250 (multiplicity 16)  6 Pd 2.70

Values from the calculation:
VASP energy: -101.124 eV for the cell shown
Energy above the most stable polymorph in this dataset: 0.000 eV per formula unit
Spin magnetization: 0.00 Bohr magnetons per cell